(1)
Material: Ag3IO
Method: DFT, PBE
State: relaxed

It has space group C2/m (No. 12), with a = 11.817 Å, b = 4.168 Å, c = 8.825 Å, α = 90.00°, β = 92.01° and γ = 90.00°. The distinct sites, in fractional coordinates, are Ag at (0.109, 0.000, 0.095), Ag at (0.121, 0.000, 0.614), Ag at (0.128, 0.500, 0.369), I at (0.135, 0.500, 0.855) and O at (0.087, 0.000, 0.353).

The value obtained for the distance to the lowest polymorph of the same formula is 1.2 kJ/mol of atoms.

=====

(2)
Material: FeSb2Pb
Method: DFT, PBE
State: relaxed

It has space group Pmmm (No. 47), with a = 3.903 Å, b = 5.036 Å, c = 5.048 Å, α = 90.00°, β = 90.00° and γ = 90.00°. The distinct sites, in fractional coordinates, are Fe at (0.000, 0.000, 0.000), Sb at (0.000, 0.500, 0.500), Sb at (0.500, 0.500, 0.000) and Pb at (0.500, 0.000, 0.500).

Its total energy is -18.184 eV/cell.

=====

(3)
Material: LiCa2Sn2
Method: DFT, PBE
State: relaxed

It has space group P4/mbm (No. 127), with a = 7.778 Å, b = 7.778 Å, c = 4.726 Å, α = 90.00°, β = 90.00° and γ = 90.00°. The distinct sites, in fractional coordinates, are Li at (0.000, 0.000, 0.000), Ca at (0.165, 0.335, 0.500) and Sn at (0.136, 0.636, 0.000).

The value obtained for the distance to the lowest polymorph of the same formula is 4.4 kJ/mol of atoms. The calculation puts the formation energy from the elements at -0.54 eV per atom.

=====

(4)
Material: NaAcSmSi
Method: DFT, PBE
State: relaxed

It has space group F-43m (No. 216), with a = 7.668 Å, b = 7.668 Å, c = 7.668 Å, α = 90.00°, β = 90.00° and γ = 90.00°. The distinct sites, in fractional coordinates, are Na at (0.000, 0.000, 0.000), Ac at (0.250, 0.250, 0.750), Sm at (0.250, 0.250, 0.250) and Si at (0.000, 0.000, 0.500).

Its total energy is -63.780 eV/cell.

=====

Copy entry 1 word for word.
Material: Ag3IO
Method: DFT, PBE
State: relaxed

It has space group C2/m (No. 12), with a = 11.817 Å, b = 4.168 Å, c = 8.825 Å, α = 90.00°, β = 92.01° and γ = 90.00°. The distinct sites, in fractional coordinates, are Ag at (0.109, 0.000, 0.095), Ag at (0.121, 0.000, 0.614), Ag at (0.128, 0.500, 0.369), I at (0.135, 0.500, 0.855) and O at (0.087, 0.000, 0.353).

The value obtained for the distance to the lowest polymorph of the same formula is 1.2 kJ/mol of atoms.